Record 1
# ReCl6 | Alexandria | PBE | optimized geometry
# Total DFT energy (no corrections)   -3.897 eV/atom
data_ReCl6
_chemical_formula_sum 'Re4 Cl24'
_cell_length_a 11.7461
_cell_length_b 11.2278
_cell_length_c 6.3967
_cell_angle_alpha 90.00
_cell_angle_beta 90.00
_cell_angle_gamma 90.00
_symmetry_space_group_name_H-M 'P n m a'
_symmetry_Int_Tables_number 62
_symmetry_space_group_name_Hall '-P 2ac 2n'
loop_
_atom_site_label
_atom_site_fract_x
_atom_site_fract_y
_atom_site_fract_z
_atom_site_occupancy
Re1 0.1257 0.2500 0.0856 1
Cl1 0.0109 0.1050 0.2266 1
Cl2 0.0163 0.2500 0.7879 1
Cl3 0.2340 0.2500 0.3841 1
Cl4 0.2411 0.1057 0.9439 1



Record 2
# Re5Cl | Alexandria | PBE | optimized geometry
# Total DFT energy (no corrections)   -9.486 eV/atom
data_Re5Cl
_chemical_formula_sum 'Re20 Cl4'
_cell_length_a 7.3509
_cell_length_b 7.3509
_cell_length_c 7.3509
_cell_angle_alpha 90.00
_cell_angle_beta 90.00
_cell_angle_gamma 90.00
_symmetry_space_group_name_H-M 'F -4 3 m'
_symmetry_Int_Tables_number 216
_symmetry_space_group_name_Hall 'F -4 2 3'
loop_
_atom_site_label
_atom_site_fract_x
_atom_site_fract_y
_atom_site_fract_z
_atom_site_occupancy
Re1 0.0000 0.0000 0.0000 1
Re2 0.1245 0.1245 0.6245 1
Cl1 0.2500 0.2500 0.2500 1



Record 3
# ReCl4 | Alexandria | PBE | optimized geometry
# Total DFT energy (no corrections)   -4.555 eV/atom
data_ReCl4
_chemical_formula_sum 'Re4 Cl16'
_cell_length_a 6.4260
_cell_length_b 6.9854
_cell_length_c 13.5062
_cell_angle_alpha 90.00
_cell_angle_beta 92.67
_cell_angle_gamma 90.00
_symmetry_space_group_name_H-M 'P 1 2/c 1'
_symmetry_Int_Tables_number 13
_symmetry_space_group_name_Hall '-P 2yc'
loop_
_atom_site_label
_atom_site_fract_x
_atom_site_fract_y
_atom_site_fract_z
_atom_site_occupancy
Re1 0.1829 0.2180 0.3069 1
Cl1 0.0000 0.4932 0.7500 1
Cl2 0.1341 0.0887 0.1396 1
Cl3 0.2458 0.3610 0.4572 1
Cl4 0.3538 0.0549 0.8557 1
Cl5 0.5000 0.3734 0.2500 1



Record 4
# Re8Cl | Alexandria | PBE | optimized geometry
# Total DFT energy (no corrections)   -10.793 eV/atom
data_Re8Cl
_chemical_formula_sum 'Re16 Cl2'
_cell_length_a 8.4059
_cell_length_b 8.4059
_cell_length_c 4.0183
_cell_angle_alpha 90.00
_cell_angle_beta 90.00
_cell_angle_gamma 90.00
_symmetry_space_group_name_H-M 'I 4/m m m'
_symmetry_Int_Tables_number 139
_symmetry_space_group_name_Hall '-I 4 2'
loop_
_atom_site_label
_atom_site_fract_x
_atom_site_fract_y
_atom_site_fract_z
_atom_site_occupancy
Re1 0.0000 0.3462 0.0000 1
Re2 0.1842 0.1842 0.5000 1
Cl1 0.0000 0.0000 0.0000 1



Record 5
# Re5Cl4 | Alexandria | PBE | optimized geometry
# Total DFT energy (no corrections)   -6.786 eV/atom
data_Re5Cl4
_chemical_formula_sum 'Re10 Cl8'
_cell_length_a 8.7315
_cell_length_b 8.7315
_cell_length_c 4.8969
_cell_angle_alpha 90.00
_cell_angle_beta 90.00
_cell_angle_gamma 120.00
_symmetry_space_group_name_H-M 'P 63/m c m'
_symmetry_Int_Tables_number 193
_symmetry_space_group_name_Hall '-P 6c 2'
loop_
_atom_site_label
_atom_site_fract_x
_atom_site_fract_y
_atom_site_fract_z
_atom_site_occupancy
Re1 0.0000 0.4416 0.2500 1
Re2 0.3333 0.6667 0.0000 1
Cl1 0.0000 0.0000 0.0000 1
Cl2 0.0000 0.2946 0.7500 1



Record 6
# ReCl4 | Alexandria | PBE | optimized geometry
# Total DFT energy (no corrections)   -3.611 eV/atom
data_ReCl4
_chemical_formula_sum 'Re2 Cl8'
_cell_length_a 6.0626
_cell_length_b 6.0626
_cell_length_c 6.0626
_cell_angle_alpha 90.00
_cell_angle_beta 90.00
_cell_angle_gamma 90.00
_symmetry_space_group_name_H-M 'I m -3 m'
_symmetry_Int_Tables_number 229
_symmetry_space_group_name_Hall '-I 4 2 3'
loop_
_atom_site_label
_atom_site_fract_x
_atom_site_fract_y
_atom_site_fract_z
_atom_site_occupancy
Re1 0.0000 0.0000 0.0000 1
Cl1 0.2500 0.2500 0.2500 1



Record 7
# Re3Cl2 | Alexandria | PBE | optimized geometry
# Total DFT energy (no corrections)   -7.523 eV/atom
data_Re3Cl2
_chemical_formula_sum 'Re9 Cl6'
_cell_length_a 2.8839
_cell_length_b 2.8839
_cell_length_c 32.3660
_cell_angle_alpha 90.00
_cell_angle_beta 90.00
_cell_angle_gamma 120.00
_symmetry_space_group_name_H-M 'R -3 m'
_symmetry_Int_Tables_number 166
_symmetry_space_group_name_Hall '-R 3 2"'
loop_
_atom_site_label
_atom_site_fract_x
_atom_site_fract_y
_atom_site_fract_z
_atom_site_occupancy
Re1 0.0000 0.0000 0.0000 1
Re2 0.0000 0.0000 0.1977 1
Cl1 0.0000 0.0000 0.3933 1



Record 8
# Re4Cl5 | Alexandria | PBE | optimized geometry
# Total DFT energy (no corrections)   -5.885 eV/atom
data_Re4Cl5
_chemical_formula_sum 'Re8 Cl10'
_cell_length_a 7.6377
_cell_length_b 7.6377
_cell_length_c 8.1390
_cell_angle_alpha 90.00
_cell_angle_beta 90.00
_cell_angle_gamma 120.00
_symmetry_space_group_name_H-M 'P 63/m c m'
_symmetry_Int_Tables_number 193
_symmetry_space_group_name_Hall '-P 6c 2'
loop_
_atom_site_label
_atom_site_fract_x
_atom_site_fract_y
_atom_site_fract_z
_atom_site_occupancy
Re1 0.0000 0.0000 0.0000 1
Re2 0.0000 0.2018 0.2500 1
Cl1 0.0000 0.3538 0.7500 1
Cl2 0.3333 0.6667 0.0000 1